# 1
{"formula": "Dy2GePd6", "functional": "PBE", "state": "optimized geometry", "cell": [[-3.586, 1.671, -4.209], [2.891, -3.213, -3.733], [-1.517, -5.438, -0.862]], "species": ["Dy", "Dy", "Ge", "Pd", "Pd", "Pd", "Pd", "Pd", "Pd"], "frac_coords": [[0.821, 0.667, 0.667], [0.179, 0.333, 0.333], [0.000, 0.000, 0.000], [0.307, 0.346, 0.827], [0.307, 0.827, 0.827], [0.307, 0.827, 0.346], [0.693, 0.654, 0.173], [0.693, 0.173, 0.173], [0.693, 0.173, 0.654]], "mass_density_g_cm3": 10.544, "delta_e_f_ev_per_atom": -0.809, "magnetic_moment_mub_per_fu": 0.00, "energy_ev_per_atom": -5.81, "crystal_system": "trigonal"}

---

# 2
{"formula": "Dy2Ge6Pd21", "functional": "PBE", "state": "optimized geometry", "cell": [[-7.846, 3.954, 0.370], [-7.273, -4.774, 1.284], [-4.306, 0.518, 7.650]], "species": ["Dy", "Dy", "Ge", "Ge", "Ge", "Ge", "Ge", "Ge", "Pd", "Pd", "Pd", "Pd", "Pd", "Pd", "Pd", "Pd", "Pd", "Pd", "Pd", "Pd", "Pd", "Pd", "Pd", "Pd", "Pd", "Pd", "Pd", "Pd", "Pd"], "frac_coords": [[0.750, 0.750, 0.750], [0.250, 0.250, 0.250], [0.267, 0.733, 0.267], [0.733, 0.267, 0.267], [0.733, 0.733, 0.267], [0.733, 0.267, 0.733], [0.267, 0.733, 0.733], [0.267, 0.267, 0.733], [0.000, 0.000, 0.000], [0.619, 0.619, 0.144], [0.619, 0.619, 0.619], [0.619, 0.144, 0.619], [0.144, 0.619, 0.619], [0.381, 0.381, 0.856], [0.381, 0.381, 0.381], [0.381, 0.856, 0.381], [0.856, 0.381, 0.381], [0.654, 0.000, 0.346], [0.000, 0.654, 0.346], [0.000, 0.000, 0.346], [0.000, 0.654, 0.000], [0.654, 0.000, 0.000], [0.000, 0.000, 0.654], [0.000, 0.346, 0.000], [0.000, 0.346, 0.654], [0.654, 0.346, 0.000], [0.346, 0.000, 0.654], [0.346, 0.000, 0.000], [0.346, 0.654, 0.000]], "mass_density_g_cm3": 10.345, "delta_e_f_ev_per_atom": -0.562, "magnetic_moment_mub_per_fu": 0.00, "energy_ev_per_atom": -5.60, "crystal_system": "cubic"}

---

# 3
{"formula": "Dy2Ge4Pd3", "functional": "PBE", "state": "optimized geometry", "cell": [[-2.470, 4.168, -3.206], [-6.805, -2.700, 1.732], [0.987, 2.416, 7.644]], "species": ["Dy", "Dy", "Dy", "Dy", "Ge", "Ge", "Ge", "Ge", "Ge", "Ge", "Ge", "Ge", "Pd", "Pd", "Pd", "Pd", "Pd", "Pd"], "frac_coords": [[0.108, 0.589, 0.216], [0.892, 0.411, 0.784], [0.392, 0.089, 0.784], [0.608, 0.911, 0.216], [0.692, 0.750, 0.885], [0.808, 0.250, 0.115], [0.308, 0.250, 0.115], [0.192, 0.750, 0.885], [0.180, 0.971, 0.360], [0.820, 0.029, 0.640], [0.320, 0.471, 0.640], [0.680, 0.529, 0.360], [0.000, 0.000, 0.000], [0.500, 0.500, 0.000], [0.524, 0.750, 0.547], [0.976, 0.250, 0.453], [0.476, 0.250, 0.453], [0.024, 0.750, 0.547]], "mass_density_g_cm3": 9.424, "delta_e_f_ev_per_atom": -0.747, "magnetic_moment_mub_per_fu": 0.00, "energy_ev_per_atom": -5.55, "crystal_system": "orthorhombic"}

---

# 4
{"formula": "DyGe2Pd4", "functional": "PBE", "state": "optimized geometry", "cell": [[-1.304, 2.706, -2.448], [-5.258, -5.166, -2.911], [-5.296, 2.342, 5.410]], "species": ["Dy", "Dy", "Ge", "Ge", "Ge", "Ge", "Pd", "Pd", "Pd", "Pd", "Pd", "Pd", "Pd", "Pd"], "frac_coords": [[0.500, 0.000, 0.000], [0.000, 0.500, 0.500], [0.000, 0.222, 0.778], [0.000, 0.778, 0.222], [0.500, 0.722, 0.722], [0.500, 0.278, 0.278], [0.000, 0.078, 0.327], [0.000, 0.922, 0.673], [0.500, 0.173, 0.578], [0.500, 0.827, 0.422], [0.500, 0.422, 0.827], [0.500, 0.578, 0.173], [0.000, 0.327, 0.078], [0.000, 0.673, 0.922]], "mass_density_g_cm3": 10.010, "delta_e_f_ev_per_atom": -0.719, "magnetic_moment_mub_per_fu": 0.00, "energy_ev_per_atom": -5.66, "e_above_lowest_polymorph_mev_per_atom": 0, "crystal_system": "tetragonal"}

---

# 5
{"formula": "DyGePd2", "functional": "PBE", "state": "optimized geometry", "cell": [[3.871, 0.000, 0.000], [0.000, 4.361, 0.000], [0.000, 0.000, 4.361]], "species": ["Ge", "Pd", "Pd", "Dy"], "frac_coords": [[0.500, 0.000, 0.000], [0.000, 0.000, 0.500], [0.000, 0.500, 0.000], [0.500, 0.500, 0.500]], "mass_density_g_cm3": 10.103, "delta_e_f_ev_per_atom": -0.677, "magnetic_moment_mub_per_fu": 0.00, "energy_ev_per_atom": -5.58, "crystal_system": "tetragonal"}

---

# 6
{"formula": "DyGe3Pd2", "functional": "PBE", "state": "optimized geometry", "cell": [[-1.930, 3.690, 0.939], [-3.645, -3.277, 5.382], [8.212, 1.510, 1.242]], "species": ["Dy", "Dy", "Ge", "Ge", "Ge", "Ge", "Ge", "Ge", "Pd", "Pd", "Pd", "Pd"], "frac_coords": [[0.127, 0.098, 0.253], [0.873, 0.902, 0.747], [0.682, 0.472, 0.365], [0.044, 0.405, 0.089], [0.339, 0.142, 0.677], [0.661, 0.858, 0.323], [0.956, 0.595, 0.911], [0.318, 0.528, 0.635], [0.508, 0.198, 0.016], [0.492, 0.802, 0.984], [0.212, 0.729, 0.424], [0.788, 0.271, 0.576]], "mass_density_g_cm3": 8.818, "delta_e_f_ev_per_atom": -0.571, "magnetic_moment_mub_per_fu": 0.00, "energy_ev_per_atom": -5.38, "crystal_system": "monoclinic"}

---

# 7
{"formula": "DyGe3Pd5", "functional": "PBE", "state": "optimized geometry", "cell": [[-3.344, 1.047, -1.412], [-0.471, -6.800, 1.130], [-4.376, 2.309, 12.075]], "species": ["Dy", "Dy", "Ge", "Ge", "Ge", "Ge", "Ge", "Ge", "Pd", "Pd", "Pd", "Pd", "Pd", "Pd", "Pd", "Pd", "Pd", "Pd"], "frac_coords": [[0.882, 0.764, 0.750], [0.118, 0.236, 0.250], [0.379, 0.758, 0.958], [0.872, 0.745, 0.250], [0.379, 0.758, 0.542], [0.621, 0.242, 0.458], [0.128, 0.255, 0.750], [0.621, 0.242, 0.042], [0.798, 0.597, 0.426], [0.202, 0.403, 0.926], [0.000, 0.000, 0.500], [0.000, 0.000, 0.000], [0.456, 0.912, 0.148], [0.544, 0.088, 0.852], [0.544, 0.088, 0.648], [0.798, 0.597, 0.074], [0.202, 0.403, 0.574], [0.456, 0.912, 0.352]], "mass_density_g_cm3": 9.248, "delta_e_f_ev_per_atom": -0.573, "magnetic_moment_mub_per_fu": 0.00, "energy_ev_per_atom": -5.51, "crystal_system": "orthorhombic"}

---

# 8
{"formula": "DyGe2Pd", "functional": "PBE", "state": "optimized geometry", "cell": [[-3.030, 0.233, -2.865], [-0.523, -4.212, 0.211], [-2.878, 0.512, 3.085]], "species": ["Ge", "Ge", "Pd", "Dy"], "frac_coords": [[0.000, 0.000, 0.500], [0.000, 0.500, 0.000], [0.500, 0.500, 0.500], [0.500, 0.000, 0.000]], "mass_density_g_cm3": 9.116, "delta_e_f_ev_per_atom": -0.588, "magnetic_moment_mub_per_fu": 0.00, "energy_ev_per_atom": -5.35, "crystal_system": "tetragonal"}

---

# 9
{"formula": "Dy2Ge3Pd2", "functional": "PBE", "state": "optimized geometry", "cell": [[4.286, 0.000, 0.000], [-2.143, 5.143, -0.045], [0.000, -2.423, 6.186]], "species": ["Dy", "Dy", "Ge", "Ge", "Ge", "Pd", "Pd"], "frac_coords": [[0.850, 0.699, 0.219], [0.150, 0.301, 0.781], [0.500, 0.000, 0.000], [0.609, 0.217, 0.446], [0.391, 0.783, 0.554], [0.855, 0.711, 0.754], [0.145, 0.289, 0.246]], "mass_density_g_cm3": 9.234, "delta_e_f_ev_per_atom": -0.728, "magnetic_moment_mub_per_fu": 0.00, "energy_ev_per_atom": -5.51, "e_above_lowest_polymorph_mev_per_atom": 126, "crystal_system": "monoclinic"}

---

# 10
{"formula": "Dy3Ge7Pd2", "functional": "PBE", "state": "optimized geometry", "cell": [[4.155, 0.000, 0.000], [0.000, 4.414, 0.009], [0.000, -2.168, 13.054]], "species": ["Dy", "Dy", "Dy", "Ge", "Ge", "Ge", "Ge", "Ge", "Ge", "Ge", "Pd", "Pd"], "frac_coords": [[0.500, 0.500, 0.000], [0.000, 0.187, 0.367], [0.000, 0.813, 0.633], [0.500, 0.728, 0.453], [0.500, 0.272, 0.547], [0.000, 0.664, 0.167], [0.000, 0.000, 0.000], [0.000, 0.336, 0.833], [0.500, 0.909, 0.830], [0.500, 0.091, 0.170], [0.500, 0.622, 0.267], [0.500, 0.378, 0.733]], "mass_density_g_cm3": 8.382, "delta_e_f_ev_per_atom": -0.609, "magnetic_moment_mub_per_fu": 0.00, "energy_ev_per_atom": -5.32, "crystal_system": "monoclinic"}

---

# 11
{"formula": "DyGePd4", "functional": "PBE", "state": "optimized geometry", "cell": [[3.939, 0.000, 0.000], [0.000, 6.964, 0.000], [0.000, 0.000, 7.700]], "species": ["Dy", "Dy", "Ge", "Ge", "Pd", "Pd", "Pd", "Pd", "Pd", "Pd", "Pd", "Pd"], "frac_coords": [[0.000, 0.643, 0.750], [0.000, 0.357, 0.250], [0.000, 0.221, 0.750], [0.000, 0.779, 0.250], [0.000, 0.000, 0.500], [0.000, 0.000, 0.000], [0.500, 0.945, 0.750], [0.500, 0.055, 0.250], [0.500, 0.693, 0.054], [0.500, 0.307, 0.946], [0.500, 0.693, 0.446], [0.500, 0.307, 0.554]], "mass_density_g_cm3": 10.390, "delta_e_f_ev_per_atom": -0.694, "magnetic_moment_mub_per_fu": 0.00, "energy_ev_per_atom": -5.69, "crystal_system": "orthorhombic"}

---

# 12
{"formula": "Dy3Ge6Pd20", "functional": "PBE", "state": "optimized geometry", "cell": [[-7.973, -2.743, -2.650], [-1.514, -8.615, -1.269], [-5.226, -4.437, 5.578]], "species": ["Dy", "Dy", "Dy", "Ge", "Ge", "Ge", "Ge", "Ge", "Ge", "Pd", "Pd", "Pd", "Pd", "Pd", "Pd", "Pd", "Pd", "Pd", "Pd", "Pd", "Pd", "Pd", "Pd", "Pd", "Pd", "Pd", "Pd", "Pd", "Pd"], "frac_coords": [[0.750, 0.750, 0.750], [0.250, 0.250, 0.250], [0.000, 0.000, 0.000], [0.269, 0.731, 0.731], [0.731, 0.269, 0.269], [0.269, 0.269, 0.731], [0.731, 0.269, 0.731], [0.269, 0.731, 0.269], [0.731, 0.731, 0.269], [0.381, 0.381, 0.857], [0.143, 0.619, 0.619], [0.653, 0.000, 0.000], [0.653, 0.347, 0.000], [0.000, 0.000, 0.653], [0.381, 0.857, 0.381], [0.000, 0.347, 0.653], [0.653, 0.000, 0.347], [0.000, 0.653, 0.000], [0.000, 0.000, 0.347], [0.347, 0.000, 0.653], [0.000, 0.347, 0.000], [0.347, 0.653, 0.000], [0.347, 0.000, 0.000], [0.381, 0.381, 0.381], [0.619, 0.619, 0.143], [0.619, 0.619, 0.619], [0.619, 0.143, 0.619], [0.857, 0.381, 0.381], [0.000, 0.653, 0.347]], "mass_density_g_cm3": 10.380, "delta_e_f_ev_per_atom": -0.672, "magnetic_moment_mub_per_fu": 0.00, "energy_ev_per_atom": -5.68, "crystal_system": "cubic"}

---

# 13
{"formula": "DyGePd2", "functional": "PBE", "state": "optimized geometry", "cell": [[-3.120, -2.477, 1.989], [0.849, -4.143, -3.829], [4.093, -2.369, 3.470]], "species": ["Dy", "Dy", "Ge", "Ge", "Pd", "Pd", "Pd", "Pd"], "frac_coords": [[0.000, 0.000, 0.382], [0.500, 0.500, 0.618], [0.000, 0.500, 0.224], [0.500, 0.000, 0.776], [0.000, 0.244, 0.851], [0.000, 0.756, 0.851], [0.500, 0.256, 0.149], [0.500, 0.744, 0.149]], "mass_density_g_cm3": 9.984, "delta_e_f_ev_per_atom": -0.803, "magnetic_moment_mub_per_fu": 0.00, "energy_ev_per_atom": -5.70, "crystal_system": "orthorhombic"}

---

# 14
{"formula": "DyGe2Pd7", "functional": "PBE", "state": "optimized geometry", "cell": [[4.021, 0.000, -0.774], [-0.149, 4.018, -0.774], [-0.042, -0.044, 10.615]], "species": ["Dy", "Ge", "Ge", "Pd", "Pd", "Pd", "Pd", "Pd", "Pd", "Pd"], "frac_coords": [[0.000, 0.000, 0.000], [0.675, 0.675, 0.349], [0.325, 0.325, 0.651], [0.104, 0.604, 0.208], [0.396, 0.896, 0.792], [0.604, 0.104, 0.208], [0.500, 0.500, 0.000], [0.750, 0.250, 0.500], [0.896, 0.396, 0.792], [0.250, 0.750, 0.500]], "mass_density_g_cm3": 10.209, "delta_e_f_ev_per_atom": -0.650, "magnetic_moment_mub_per_fu": 0.00, "energy_ev_per_atom": -5.67, "e_above_lowest_polymorph_mev_per_atom": 0, "crystal_system": "tetragonal"}

---

# 15
{"formula": "Dy3Ge3Pd2", "functional": "PBE", "state": "optimized geometry", "cell": [[-2.453, 0.944, -3.445], [0.133, -5.593, 1.098], [-11.490, 1.408, 8.566]], "species": ["Dy", "Dy", "Dy", "Dy", "Dy", "Dy", "Ge", "Ge", "Ge", "Ge", "Ge", "Ge", "Pd", "Pd", "Pd", "Pd"], "frac_coords": [[0.912, 0.824, 0.391], [0.088, 0.176, 0.891], [0.912, 0.824, 0.109], [0.088, 0.176, 0.609], [0.638, 0.276, 0.250], [0.362, 0.724, 0.750], [0.611, 0.222, 0.461], [0.389, 0.778, 0.961], [0.611, 0.222, 0.039], [0.389, 0.778, 0.539], [0.347, 0.695, 0.250], [0.653, 0.305, 0.750], [0.797, 0.594, 0.899], [0.203, 0.406, 0.399], [0.797, 0.594, 0.601], [0.203, 0.406, 0.101]], "mass_density_g_cm3": 9.267, "delta_e_f_ev_per_atom": -0.953, "magnetic_moment_mub_per_fu": 0.00, "energy_ev_per_atom": -5.71, "e_above_lowest_polymorph_mev_per_atom": 0, "crystal_system": "orthorhombic"}

---

# 16
{"formula": "Dy2Ge3Pd5", "functional": "PBE", "state": "optimized geometry", "cell": [[-0.780, 3.645, 2.160], [0.965, -3.283, 5.890], [12.213, 0.943, -1.475]], "species": ["Dy", "Dy", "Dy", "Dy", "Ge", "Ge", "Ge", "Ge", "Ge", "Ge", "Pd", "Pd", "Pd", "Pd", "Pd", "Pd", "Pd", "Pd", "Pd", "Pd"], "frac_coords": [[0.477, 0.717, 0.954], [0.174, 0.762, 0.349], [0.826, 0.262, 0.651], [0.523, 0.217, 0.046], [0.774, 0.814, 0.548], [0.620, 0.456, 0.240], [0.048, 0.929, 0.096], [0.226, 0.314, 0.452], [0.952, 0.429, 0.904], [0.380, 0.956, 0.760], [0.404, 0.330, 0.808], [0.302, 0.587, 0.604], [0.698, 0.087, 0.396], [0.124, 0.210, 0.248], [0.277, 0.006, 0.554], [0.944, 0.053, 0.888], [0.723, 0.506, 0.446], [0.876, 0.710, 0.752], [0.056, 0.553, 0.112], [0.596, 0.830, 0.192]], "mass_density_g_cm3": 10.014, "delta_e_f_ev_per_atom": -0.792, "magnetic_moment_mub_per_fu": 0.00, "energy_ev_per_atom": -5.69, "e_above_lowest_polymorph_mev_per_atom": 0, "crystal_system": "orthorhombic"}

---

# 17
{"formula": "Dy2Ge3Pd9", "functional": "PBE", "state": "optimized geometry", "cell": [[7.158, -0.017, -3.027], [-4.195, 6.542, -0.002], [0.013, 0.045, 10.102]], "species": ["Dy", "Dy", "Dy", "Dy", "Ge", "Ge", "Ge", "Ge", "Ge", "Ge", "Pd", "Pd", "Pd", "Pd", "Pd", "Pd", "Pd", "Pd", "Pd", "Pd", "Pd", "Pd", "Pd", "Pd", "Pd", "Pd", "Pd", "Pd"], "frac_coords": [[0.335, 0.244, 0.750], [0.665, 0.756, 0.250], [0.994, 0.585, 0.750], [0.006, 0.415, 0.250], [0.500, 0.000, 0.000], [0.500, 0.500, 0.500], [0.849, 0.176, 0.500], [0.151, 0.824, 0.500], [0.175, 0.349, 0.000], [0.825, 0.651, 0.000], [0.457, 0.922, 0.747], [0.543, 0.078, 0.253], [0.674, 0.710, 0.753], [0.326, 0.290, 0.247], [0.437, 0.631, 0.920], [0.563, 0.369, 0.080], [0.211, 0.516, 0.580], [0.789, 0.484, 0.420], [0.882, 0.132, 0.750], [0.118, 0.868, 0.250], [0.140, 0.985, 0.946], [0.860, 0.015, 0.054], [0.539, 0.194, 0.554], [0.461, 0.806, 0.446], [0.893, 0.861, 0.577], [0.107, 0.139, 0.423], [0.784, 0.316, 0.923], [0.216, 0.684, 0.077]], "mass_density_g_cm3": 10.533, "delta_e_f_ev_per_atom": -0.743, "magnetic_moment_mub_per_fu": 0.00, "energy_ev_per_atom": -5.73, "crystal_system": "monoclinic"}

---

# 18
{"formula": "Dy3Ge4Pd2", "functional": "PBE", "state": "optimized geometry", "cell": [[-3.362, 2.731, -0.209], [-1.649, -5.361, 1.475], [2.380, 3.477, 7.140]], "species": ["Dy", "Dy", "Dy", "Ge", "Ge", "Ge", "Ge", "Pd", "Pd"], "frac_coords": [[0.664, 0.328, 0.664], [0.000, 0.000, 0.000], [0.336, 0.672, 0.336], [0.729, 0.459, 0.068], [0.271, 0.541, 0.932], [0.938, 0.877, 0.607], [0.062, 0.123, 0.393], [0.604, 0.209, 0.275], [0.396, 0.791, 0.725]], "mass_density_g_cm3": 8.836, "delta_e_f_ev_per_atom": -0.849, "magnetic_moment_mub_per_fu": 0.00, "energy_ev_per_atom": -5.59, "e_above_lowest_polymorph_mev_per_atom": 17, "crystal_system": "monoclinic"}

---

# 19
{"formula": "Dy2Ge3Pd", "functional": "PBE", "state": "optimized geometry", "cell": [[3.977, 0.000, 1.666], [1.704, 5.291, 1.512], [-0.064, 0.076, 5.735]], "species": ["Dy", "Dy", "Ge", "Ge", "Ge", "Pd"], "frac_coords": [[0.553, 0.184, 0.709], [0.437, 0.809, 0.317], [0.863, 0.599, 0.675], [0.824, 0.225, 0.126], [0.155, 0.788, 0.902], [0.167, 0.395, 0.270]], "mass_density_g_cm3": 8.911, "delta_e_f_ev_per_atom": -0.756, "magnetic_moment_mub_per_fu": 0.00, "energy_ev_per_atom": -5.46, "e_above_lowest_polymorph_mev_per_atom": 15, "crystal_system": "monoclinic"}